(1)
A plane-wave DFT calculation with PBE-GGA was carried out for a relaxed FeCo2Ag crystal.

Lattice parameters (Å, degrees): 4.1999 4.1999 4.1999 60.00 60.00 60.00
With the nearest neighbours (Å) after each atom.
Positions (direct):
Fe1 0.0000 0.0000 0.0000  4 Co 2.57, 4 Ag 2.57
Co1 0.2500 0.2500 0.2500  4 Fe 2.57, 4 Co 2.57
Co2 0.5000 0.5000 0.5000  4 Co 2.57, 4 Ag 2.57
Ag1 0.7500 0.7500 0.7500  4 Fe 2.57, 4 Co 2.57

Results
The crystal system is cubic. Its symmetry is F-43m (216). As for the volume: 13.097 A^3/atom. The energy above the most stable polymorph in this dataset is 179 meV per atom.


(2)
A plane-wave DFT calculation with PBE-GGA was carried out for a relaxed Tm4NiTe2S crystal.

Lattice parameters (Å, degrees): 7.1739 3.9671 7.3226 90.00 108.24 90.00
With the nearest neighbours (Å) after each atom.
Positions (direct):
Tm1 0.2178 0.0000 0.2001  2 Ni 2.66, 1 S 2.85
Tm2 0.2559 0.5000 0.7900  1 Ni 2.74, 2 S 2.77, 2 Te 3.06
Tm3 0.7441 0.5000 0.2100  1 Ni 2.74, 2 S 2.77, 2 Te 3.06
Tm4 0.7822 0.0000 0.7999  2 Ni 2.66, 1 S 2.85
Ni1 0.0000 0.5000 0.0000  6 Tm 2.66-2.74
Te1 0.0000 0.0000 0.5000  6 Tm 3.06-3.07
Te2 0.5000 0.5000 0.5000  6 Tm 3.15-3.17
S1 0.5000 0.0000 0.0000  6 Tm 2.77-2.85

Results
The crystal system is monoclinic. Its symmetry is P2/m (10). As for the volume: 24.741 A^3/atom. The uncorrected formation energy comes out at -1.2038 eV per atom.


(3)
A plane-wave DFT calculation with PBE-GGA was carried out for a relaxed CeUGa crystal.

Lattice parameters (Å, degrees): 7.6973 7.6973 7.6973 158.27 158.27 30.93
With the nearest neighbours (Å) after each atom.
Positions (direct):
Ce1 0.0000 0.0000 0.0000  4 Ce 2.90, 4 Ga 3.20
U1 0.3214 0.3214 0.0000  4 U 2.90, 4 Ga 3.09
Ga1 0.6655 0.6655 0.0000  4 Ga 2.90, 4 U 3.09, 4 Ce 3.20

Results
The crystal system is tetragonal. Its symmetry is I4mm (107). As for the volume: 20.831 A^3/atom. The energy above the most stable polymorph in this dataset is 93 meV per atom.


(4)
A plane-wave DFT calculation with PBE-GGA was carried out for a relaxed PdAuCl4 crystal.

Lattice parameters (Å, degrees): 5.2177 6.0382 6.3712 109.97 103.21 107.90
With the nearest neighbours (Å) after each atom.
Positions (direct):
Pd1 0.0000 0.0000 0.0000  4 Cl 2.29-2.37
Au1 0.2246 0.8717 0.5786  3 Cl 2.35-2.58
Cl1 0.1569 0.6746 0.8364  1 Au 2.36, 1 Pd 2.37
Cl2 0.3097 0.1454 0.3894  1 Pd 2.31, 1 Au 2.35
Cl3 0.7267 0.8793 0.6003  1 Pd 2.34, 1 Au 2.58
Cl4 0.8597 0.3298 0.1319  1 Pd 2.29

Results
The crystal system is triclinic. Its symmetry is P1 (1). As for the volume: 27.765 A^3/atom. The uncorrected formation energy comes out at -0.2984 eV per atom.


(5)
A plane-wave DFT calculation with PBE-GGA was carried out for a relaxed VMo2Pt crystal.

Lattice parameters (Å, degrees): 4.4305 4.4305 4.4305 60.00 60.00 60.00
With the nearest neighbours (Å) after each atom.
Positions (direct):
V1 0.0000 0.0000 0.0000  8 Mo 2.71
Mo1 0.2500 0.2500 0.2500  4 Pt 2.71, 4 V 2.71
Mo2 0.7500 0.7500 0.7500  4 Pt 2.71, 4 V 2.71
Pt1 0.5000 0.5000 0.5000  8 Mo 2.71

Results
The crystal system is cubic. Its symmetry is Fm-3m (225). As for the volume: 15.373 A^3/atom. The energy above the most stable polymorph in this dataset is 252 meV per atom.


(6)
A plane-wave DFT calculation with PBE-GGA was carried out for a relaxed ZnSn2Au2 crystal.

Lattice parameters (Å, degrees): 5.5138 5.5138 5.5138 118.78 118.78 92.13
With the nearest neighbours (Å) after each atom.
Positions (direct):
Zn1 0.0000 0.0000 0.0000  2 Au 2.49
Sn1 0.2500 0.7500 0.5000  4 Au 2.87
Sn2 0.7500 0.2500 0.5000  4 Au 2.87
Au1 0.3258 0.3258 0.0000  1 Zn 2.49, 1 Au 2.67
Au2 0.6742 0.6742 0.0000  1 Zn 2.49, 1 Au 2.67

Results
The crystal system is tetragonal. Its symmetry is I4/mmm (139). As for the volume: 24.126 A^3/atom. The energy above the most stable polymorph in this dataset is 134 meV per atom.


no.,total moment (μB per atom)
1,1.609
2,0.000
3,0.443
4,0.000
5,0.000
6,0.000